Arrangement i

First-principles (PBE-GGA) data for a relaxed GeOsF2 crystal, as listed in the Alexandria database.

Cell: 4.2553 4.2553 4.2553 Å, 60.00 60.00 60.00°
Closest atoms and distances in Å follow each position.
Atoms (fractional coordinates):
Ge (0.0000, 0.0000, 0.0000)  8 F 2.61
Os (0.5000, 0.5000, 0.5000)  8 F 2.61
F (0.2500, 0.2500, 0.2500)  4 Ge 2.61, 4 Os 2.61
F (0.7500, 0.7500, 0.7500)  4 Ge 2.61, 4 Os 2.61

Arrangement ii

First-principles (PBE-GGA) data for a relaxed GeOsF2 crystal, as listed in the Alexandria database.

Cell: 8.2757 8.2757 8.2757 Å, 19.06 19.06 19.06°
Closest atoms and distances in Å follow each position.
Atoms (fractional coordinates):
Ge (0.0000, 0.0000, 0.0000)  6 F 2.60, 6 Ge 2.74
Os (0.5000, 0.5000, 0.5000)  2 F 2.00
F (0.4179, 0.4179, 0.4179)  1 Os 2.00
F (0.5821, 0.5821, 0.5821)  1 Os 2.00

Energies, relative to the best one, in eV/atom: arrangement i 0.942; arrangement ii 0.000.

Arrangement i

First-principles (PBE-GGA) data for a relaxed GeOsF2 crystal, as listed in the Alexandria database.

Cell: 8.8484 8.8484 8.8484 Å, 17.60 17.60 17.60°
Closest atoms and distances in Å follow each position.
Atoms (fractional coordinates):
Ge (0.0000, 0.0000, 0.0000)  2 F 1.87
Os (0.5000, 0.5000, 0.5000)  6 Os 2.71, 6 F 2.93
F (0.0717, 0.0717, 0.0717)  1 Ge 1.87
F (0.9283, 0.9283, 0.9283)  1 Ge 1.87

Arrangement ii

First-principles (PBE-GGA) data for a relaxed GeOsF2 crystal, as listed in the Alexandria database.

Cell: 5.8579 5.8579 5.8579 Å, 124.74 124.74 81.96°
Closest atoms and distances in Å follow each position.
Atoms (fractional coordinates):
Ge (0.0000, 0.0000, 0.0000)  4 F 2.23
Ge (0.7500, 0.2500, 0.5000)  4 F 2.23
Os (0.2500, 0.7500, 0.5000)  4 F 2.21
Os (0.5000, 0.5000, 0.0000)  4 F 2.21
F (0.1284, 0.6250, 0.0034)  2 Os 2.21, 2 Ge 2.23
F (0.3750, 0.3784, 0.5034)  2 Os 2.21, 2 Ge 2.23
F (0.6216, 0.1250, 0.9966)  2 Os 2.21, 2 Ge 2.23
F (0.8750, 0.8716, 0.4966)  2 Os 2.21, 2 Ge 2.23

Energies, relative to the best one, in eV/atom: arrangement i 0.000; arrangement ii 0.851.

Arrangement i

First-principles (PBE-GGA) data for a relaxed GeP2F crystal, as listed in the Alexandria database.

Cell: 6.3848 6.3848 6.3848 Å, 126.08 126.08 79.76°
Closest atoms and distances in Å follow each position.
Atoms (fractional coordinates):
Ge (0.0000, 0.0000, 0.0000)  4 P 2.39
Ge (0.7500, 0.2500, 0.5000)  4 P 2.39
P (0.1254, 0.6250, 0.0004)  2 F 2.38, 2 Ge 2.39
P (0.3750, 0.3754, 0.5004)  2 F 2.38, 2 Ge 2.39
P (0.6246, 0.1250, 0.9996)  2 F 2.38, 2 Ge 2.39
P (0.8750, 0.8746, 0.4996)  2 F 2.38, 2 Ge 2.39
F (0.2500, 0.7500, 0.5000)  4 P 2.38
F (0.5000, 0.5000, 0.0000)  4 P 2.38

Arrangement ii

First-principles (PBE-GGA) data for a relaxed GeP2F crystal, as listed in the Alexandria database.

Cell: 4.3075 4.3075 4.3075 Å, 60.00 60.00 60.00°
Closest atoms and distances in Å follow each position.
Atoms (fractional coordinates):
Ge (0.0000, 0.0000, 0.0000)  8 P 2.64
P (0.2500, 0.2500, 0.2500)  4 F 2.64, 4 Ge 2.64
P (0.7500, 0.7500, 0.7500)  4 F 2.64, 4 Ge 2.64
F (0.5000, 0.5000, 0.5000)  8 P 2.64

Energies, relative to the best one, in eV/atom: arrangement i 0.121; arrangement ii 0.000.

Arrangement i

First-principles (PBE-GGA) data for a relaxed GeP2SF crystal, as listed in the Alexandria database.

Cell: 4.0335 4.0335 5.6989 Å, 90.00 90.00 90.00°
Closest atoms and distances in Å follow each position.
Atoms (fractional coordinates):
Ge (0.0000, 0.0000, 0.0000)  4 S 2.85
P (0.0000, 0.5000, 0.5000)  2 F 2.02
P (0.5000, 0.0000, 0.5000)  2 F 2.02
S (0.5000, 0.5000, 0.0000)  2 F 2.85, 4 Ge 2.85
F (0.5000, 0.5000, 0.5000)  4 P 2.02

Arrangement ii

First-principles (PBE-GGA) data for a relaxed GeP2SF crystal, as listed in the Alexandria database.

Cell: 4.7247 4.7247 4.6248 Å, 90.00 90.00 90.00°
Closest atoms and distances in Å follow each position.
Atoms (fractional coordinates):
Ge (0.0000, 0.0000, 0.0000)  2 S 2.31, 4 P 2.36
P (0.0000, 0.5000, 0.0000)  2 Ge 2.36
P (0.5000, 0.0000, 0.0000)  2 Ge 2.36
S (0.0000, 0.0000, 0.5000)  2 Ge 2.31
F (0.5000, 0.5000, 0.5000)  8 P 3.31, 4 S 3.34

Energies, relative to the best one, in eV/atom: arrangement i 0.000; arrangement ii 0.149.